! BaSr3Rh | Alexandria via LeMat-Bulk | PBE | relaxed; values from VASP
&SYSTEM
  ibrav = 0, nat = 10, ntyp = 3
/
ATOMIC_SPECIES
Ba 137.33 Ba.upf
Sr 87.62 Sr.upf
Rh 102.91 Rh.upf
CELL_PARAMETERS angstrom
-0.9914 -2.8293 6.9651
-7.6884 -3.2545 -2.4173
3.5050 -5.0523 -4.3438
ATOMIC_POSITIONS crystal
Ba 0.8344 0.1604 0.3836
Sr 0.3250 0.4202 0.3977
Rh 0.5760 0.6686 0.6311
Ba 0.3176 0.1605 0.8787
Sr 0.8270 0.4203 0.8646
Rh 0.0760 0.3912 0.6312
Sr 0.8174 0.8944 0.8736
Sr 0.8235 0.6465 0.3988
Sr 0.3345 0.8942 0.3885
Sr 0.3284 0.6466 0.8633
! energy above the most stable polymorph in this dataset: 4 meV per atom
! formation energy: -0.18 eV/atom
! magnetization: 0.00 μB/f.u.
! crystal system: monoclinic

---

! BaSrRh4 | Alexandria via LeMat-Bulk | PBE | relaxed; values from VASP
&SYSTEM
  ibrav = 0, nat = 6, ntyp = 3
/
ATOMIC_SPECIES
Rh 102.91 Rh.upf
Sr 87.62 Sr.upf
Ba 137.33 Ba.upf
CELL_PARAMETERS angstrom
5.5596 0.0000 0.0000
2.7798 4.8148 0.0000
2.7798 1.6049 4.5394
ATOMIC_POSITIONS crystal
Rh 0.1261 0.6246 0.6246
Sr 0.2500 0.2500 0.2500
Rh 0.6246 0.6246 0.1261
Rh 0.6246 0.1261 0.6246
Rh 0.6246 0.6246 0.6246
Ba 0.0000 0.0000 0.0000
! formation energy: -0.15 eV/atom
! magnetization: 0.02 μB/f.u.
! crystal system: cubic

---

! BaSr3Rh | Alexandria via LeMat-Bulk | PBE | relaxed; values from VASP
&SYSTEM
  ibrav = 0, nat = 10, ntyp = 3
/
ATOMIC_SPECIES
Sr 87.62 Sr.upf
Ba 137.33 Ba.upf
Rh 102.91 Rh.upf
CELL_PARAMETERS angstrom
-5.7764 3.5201 5.4317
-5.4874 -4.2090 -3.1083
3.1404 -3.7198 5.7506
ATOMIC_POSITIONS crystal
Sr 0.9415 0.7103 0.4441
Sr 0.1939 0.7022 0.9208
Ba 0.6766 0.6944 0.9340
Sr 0.6725 0.2104 0.4442
Ba 0.9374 0.1943 0.9338
Sr 0.4201 0.6983 0.4551
Rh 0.4468 0.4531 0.6916
Rh 0.1672 0.9529 0.6915
Sr 0.1940 0.1982 0.4551
Sr 0.4199 0.2023 0.9208
! energy above the most stable polymorph in this dataset: 4 meV per atom
! formation energy: -0.18 eV/atom
! magnetization: 0.00 μB/f.u.
! crystal system: monoclinic

---

! Ba2Sr4Rh | Alexandria via LeMat-Bulk | PBE | relaxed; values from VASP
&SYSTEM
  ibrav = 0, nat = 7, ntyp = 3
/
ATOMIC_SPECIES
Ba 137.33 Ba.upf
Sr 87.62 Sr.upf
Rh 102.91 Rh.upf
CELL_PARAMETERS angstrom
5.9182 0.0000 0.0000
0.0000 5.9182 0.0000
-2.9591 -2.9591 10.7133
ATOMIC_POSITIONS crystal
Ba 0.6735 0.6735 0.3469
Ba 0.3265 0.3265 0.6531
Sr 0.1333 0.1333 0.2666
Sr 0.5000 0.0000 0.0000
Sr 0.0000 0.5000 0.0000
Rh 0.0000 0.0000 0.0000
Sr 0.8667 0.8667 0.7334
! energy above the most stable polymorph in this dataset: 21 meV per atom
! formation energy: -0.03 eV/atom
! magnetization: 0.00 μB/f.u.
! crystal system: tetragonal

---

! BaSr4Rh2 | Alexandria via LeMat-Bulk | PBE | relaxed; values from VASP
&SYSTEM
  ibrav = 0, nat = 14, ntyp = 3
/
ATOMIC_SPECIES
Sr 87.62 Sr.upf
Rh 102.91 Rh.upf
Ba 137.33 Ba.upf
CELL_PARAMETERS angstrom
0.6353 2.5532 -6.4488
4.6263 -6.7553 -2.2550
-10.2371 -2.2794 1.8685
ATOMIC_POSITIONS crystal
Sr 0.4452 0.2399 0.4785
Rh 0.5249 0.3756 0.2508
Rh 0.2929 0.3683 0.7375
Sr 0.8077 0.6168 0.2359
Sr 0.9755 0.0659 0.6221
Sr 0.6021 0.6835 0.8781
Rh 0.8054 0.3807 0.7625
Ba 0.4289 0.7271 0.4514
Sr 0.9740 0.5555 0.6219
Sr 0.8218 0.1309 0.2641
Sr 0.2167 0.5114 0.0215
Ba 0.2275 0.0256 0.0486
Sr 0.6034 0.1938 0.8779
Rh 0.5241 0.8747 0.2492
! formation energy: -0.16 eV/atom
! magnetization: 0.00 μB/f.u.
! crystal system: monoclinic

---

! BaSr2Rh9 | Alexandria via LeMat-Bulk | PBE | relaxed; values from VASP
&SYSTEM
  ibrav = 0, nat = 12, ntyp = 3
/
ATOMIC_SPECIES
Rh 102.91 Rh.upf
Sr 87.62 Sr.upf
Ba 137.33 Ba.upf
CELL_PARAMETERS angstrom
0.4089 -1.1573 5.3399
-3.6975 -3.2639 2.3868
3.8778 -8.5005 0.6719
ATOMIC_POSITIONS crystal
Rh 0.0866 0.5778 0.7578
Rh 0.6682 0.6682 0.9953
Rh 0.3318 0.3318 0.0047
Sr 0.1403 0.1403 0.5791
Rh 0.5778 0.5778 0.7578
Ba 0.0000 0.0000 0.0000
Rh 0.5000 0.5000 0.5000
Sr 0.8597 0.8597 0.4209
Rh 0.9134 0.4222 0.2422
Rh 0.4222 0.4222 0.2422
Rh 0.4222 0.9134 0.2422
Rh 0.5778 0.0866 0.7578
! formation energy: -0.12 eV/atom
! magnetization: 0.00 μB/f.u.
! crystal system: trigonal

---

! BaSr2Rh2 | Alexandria via LeMat-Bulk | PBE | relaxed; values from VASP
&SYSTEM
  ibrav = 0, nat = 5, ntyp = 3
/
ATOMIC_SPECIES
Rh 102.91 Rh.upf
Ba 137.33 Ba.upf
Sr 87.62 Sr.upf
CELL_PARAMETERS angstrom
5.3764 0.0000 0.0000
0.0000 5.3764 0.0000
2.6882 2.6882 5.6306
ATOMIC_POSITIONS crystal
Rh 0.7500 0.2500 0.5000
Rh 0.2500 0.7500 0.5000
Ba 0.0000 0.0000 0.0000
Sr 0.3384 0.3384 0.3233
Sr 0.6616 0.6616 0.6767
! energy above the most stable polymorph in this dataset: 200 meV per atom
! formation energy: 0.08 eV/atom
! magnetization: 0.00 μB/f.u.
! crystal system: tetragonal

---

! BaSrRh | Alexandria via LeMat-Bulk | PBE | relaxed; values from VASP
&SYSTEM
  ibrav = 0, nat = 3, ntyp = 3
/
ATOMIC_SPECIES
Sr 87.62 Sr.upf
Ba 137.33 Ba.upf
Rh 102.91 Rh.upf
CELL_PARAMETERS angstrom
-5.4274 5.8261 -0.7256
-7.5266 2.6788 -0.3273
-0.7733 0.9690 3.5964
ATOMIC_POSITIONS crystal
Sr 0.7184 0.7184 0.2816
Ba 0.9514 0.9514 0.0486
Rh 0.3302 0.3302 0.6698
! energy above the most stable polymorph in this dataset: 71 meV per atom
! formation energy: -0.11 eV/atom
! magnetization: 0.00 μB/f.u.
! crystal system: tetragonal

---

! BaSr3Rh | Alexandria via LeMat-Bulk | PBE | relaxed; values from VASP
&SYSTEM
  ibrav = 0, nat = 10, ntyp = 3
/
ATOMIC_SPECIES
Sr 87.62 Sr.upf
Rh 102.91 Rh.upf
Ba 137.33 Ba.upf
CELL_PARAMETERS angstrom
26.6784 0.0000 -0.3262
9.9958 1.9611 -4.2193
-9.9958 1.9611 4.2193
ATOMIC_POSITIONS crystal
Sr 0.5846 0.5792 0.4208
Sr 0.9507 0.6443 0.3557
Sr 0.4154 0.4208 0.5792
Sr 0.3317 0.6781 0.3219
Rh 0.5579 0.8449 0.1551
Ba 0.7798 0.0271 0.9729
Rh 0.4421 0.1551 0.8449
Ba 0.2202 0.9729 0.0271
Sr 0.0493 0.3557 0.6443
Sr 0.6683 0.3219 0.6781
! energy above the most stable polymorph in this dataset: 129 meV per atom
! formation energy: -0.06 eV/atom
! magnetization: 0.00 μB/f.u.
! crystal system: monoclinic

---

! BaSrTa2Rh | Alexandria via LeMat-Bulk | PBE | relaxed; values from VASP
&SYSTEM
  ibrav = 0, nat = 5, ntyp = 4
/
ATOMIC_SPECIES
Ba 137.33 Ba.upf
Sr 87.62 Sr.upf
Rh 102.91 Rh.upf
Ta 180.95 Ta.upf
CELL_PARAMETERS angstrom
5.2633 0.0000 0.0000
0.0000 5.1662 0.0000
0.0000 0.0000 5.2633
ATOMIC_POSITIONS crystal
Ba 0.0000 0.0000 0.0000
Sr 0.5000 0.5000 0.5000
Rh 0.0000 0.5000 0.0000
Ta 0.0000 0.0000 0.5000
Ta 0.5000 0.0000 0.0000
! formation energy: 2.15 eV/atom
! magnetization: 0.00 μB/f.u.
! crystal system: tetragonal

---

! BaSr2TaRh | Alexandria via LeMat-Bulk | PBE | relaxed; values from VASP
&SYSTEM
  ibrav = 0, nat = 5, ntyp = 4
/
ATOMIC_SPECIES
Sr 87.62 Sr.upf
Ta 180.95 Ta.upf
Ba 137.33 Ba.upf
Rh 102.91 Rh.upf
CELL_PARAMETERS angstrom
-6.0032 -1.3348 0.5438
0.9635 -2.7936 3.7793
-0.7349 4.8383 3.7638
ATOMIC_POSITIONS crystal
Sr 0.5000 0.0000 0.0000
Ta 0.0000 0.0000 0.0000
Ba 0.5000 0.5000 0.5000
Rh 0.0000 0.5000 0.0000
Sr 0.0000 0.0000 0.5000
! formation energy: 0.61 eV/atom
! magnetization: 0.45 μB/f.u.
! crystal system: tetragonal

---

! BaSr2TiRh | Alexandria via LeMat-Bulk | PBE | relaxed; values from VASP
&SYSTEM
  ibrav = 0, nat = 5, ntyp = 4
/
ATOMIC_SPECIES
Ba 137.33 Ba.upf
Sr 87.62 Sr.upf
Ti 47.87 Ti.upf
Rh 102.91 Rh.upf
CELL_PARAMETERS angstrom
6.0058 0.0000 0.0000
0.0000 4.9691 0.0000
0.0000 0.0000 6.0058
ATOMIC_POSITIONS crystal
Ba 0.0000 0.0000 0.0000
Sr 0.0000 0.0000 0.5000
Ti 0.0000 0.5000 0.0000
Rh 0.5000 0.5000 0.5000
Sr 0.5000 0.0000 0.0000
! formation energy: 1.59 eV/atom
! magnetization: 0.91 μB/f.u.
! crystal system: tetragonal

---

> Among the records above, which one has the highest formation energy?

BaSrTa2Rh

---

> Among the records above, which one has the highest magnetization?

BaSr2TiRh